Crystalline TlSbAu5 at its relaxed geometry. Source: Alexandria via LeMat-Bulk, functional PBE.

VASP energy, eV/atom: -3.292
Formation energy without anion corrections, eV/atom: -0.02
Space group: Pnma (62)

a b c (Å): 5.911 9.230 11.267
angles (deg): 90.00 90.00 90.00
Positions (direct):
Au 0.991 0.408 0.201
Au 0.750 0.442 0.981
Au 0.750 0.116 0.919
Au 0.509 0.408 0.201
Au 0.250 0.384 0.419
Au 0.250 0.648 0.271
Au 0.250 0.884 0.081
Au 0.750 0.942 0.519
Au 0.991 0.908 0.299
Au 0.250 0.058 0.481
Au 0.509 0.908 0.299
Au 0.491 0.092 0.701
Au 0.009 0.092 0.701
Au 0.250 0.148 0.229
Au 0.750 0.616 0.581
Au 0.009 0.592 0.799
Au 0.750 0.352 0.729
Au 0.491 0.592 0.799
Au 0.250 0.558 0.019
Au 0.750 0.852 0.771
Tl 0.250 0.233 0.960
Tl 0.250 0.733 0.540
Tl 0.750 0.267 0.460
Tl 0.750 0.767 0.040
Sb 0.250 0.356 0.657
Sb 0.250 0.856 0.843
Sb 0.750 0.144 0.157
Sb 0.750 0.644 0.343

Crystalline Tl5Sb2Au2 at its relaxed geometry. Source: Alexandria via LeMat-Bulk, functional PBE.

VASP energy, eV/atom: -2.934
Formation energy without anion corrections, eV/atom: 0.03
Space group: Ima2 (46)

a b c (Å): 7.311 8.217 10.586
angles (deg): 112.84 110.20 90.00
Positions (direct):
Tl 0.693 0.064 0.826
Tl 0.798 0.404 0.298
Tl 0.867 0.936 0.174
Tl 0.500 0.596 0.702
Tl 0.179 0.854 0.500
Tl 0.298 0.394 0.298
Tl 0.193 0.262 0.826
Tl 0.000 0.606 0.702
Tl 0.679 0.146 0.500
Tl 0.367 0.738 0.174
Sb 0.616 0.500 0.000
Sb 0.669 0.744 0.500
Sb 0.169 0.256 0.500
Sb 0.116 0.000 0.000
Au 0.508 0.084 0.175
Au 0.833 0.409 0.825
Au 0.333 0.916 0.825
Au 0.008 0.591 0.175

Crystalline TlSbAu3 at its relaxed geometry. Source: Alexandria via LeMat-Bulk, functional PBE.

VASP energy, eV/atom: -2.489
Formation energy without anion corrections, eV/atom: 0.77
Space group: Pm-3m (221)
Distance to the lowest polymorph of the same formula, meV per atom: 775

a b c (Å): 5.229 5.229 5.229
angles (deg): 90.00 90.00 90.00
Positions (direct):
Tl 0.000 0.000 0.000
Au 0.500 0.000 0.000
Au 0.000 0.500 0.000
Au 0.000 0.000 0.500
Sb 0.500 0.500 0.500

Crystalline Tl2SbAu at its relaxed geometry. Source: Alexandria via LeMat-Bulk, functional PBE.

VASP energy, eV/atom: -3.042
Formation energy without anion corrections, eV/atom: -0.01
Space group: C2/m (12)
Distance to the lowest polymorph of the same formula, meV per atom: 68

a b c (Å): 7.732 7.732 4.291
angles (deg): 73.99 73.99 28.64
Positions (direct):
Tl 0.430 0.430 0.570
Tl 0.070 0.070 0.930
Au 0.750 0.750 0.750
Sb 0.250 0.250 0.250

Crystalline Tl12SbAu7 at its relaxed geometry. Source: Alexandria via LeMat-Bulk, functional PBE.

VASP energy, eV/atom: -2.788
Formation energy without anion corrections, eV/atom: -0.01
Space group: R-3 (148)

a b c (Å): 9.099 9.099 9.099
angles (deg): 111.20 111.20 111.20
Positions (direct):
Tl 0.435 0.839 0.558
Tl 0.307 0.807 0.975
Tl 0.807 0.975 0.307
Tl 0.839 0.558 0.435
Tl 0.193 0.025 0.693
Tl 0.975 0.307 0.807
Tl 0.442 0.565 0.161
Tl 0.161 0.442 0.565
Tl 0.693 0.193 0.025
Tl 0.565 0.161 0.442
Tl 0.025 0.693 0.193
Tl 0.558 0.435 0.839
Au 0.878 0.603 0.792
Au 0.397 0.208 0.122
Au 0.208 0.122 0.397
Au 0.603 0.792 0.878
Au 0.792 0.878 0.603
Au 0.122 0.397 0.208
Au 0.500 0.500 0.500
Sb 0.000 0.000 0.000

Crystalline TlSb2Au at its relaxed geometry. Source: Alexandria via LeMat-Bulk, functional PBE.

VASP energy, eV/atom: -3.274
Formation energy without anion corrections, eV/atom: 0.20
Space group: C2/m (12)
Distance to the lowest polymorph of the same formula, meV per atom: 260

a b c (Å): 6.555 5.867 3.336
angles (deg): 82.37 74.26 118.79
Positions (direct):
Sb 0.000 0.000 0.000
Sb 0.500 0.000 0.500
Au 0.500 0.500 0.000
Tl 0.000 0.500 0.500

Crystalline TlSb2Au at its relaxed geometry. Source: Alexandria via LeMat-Bulk, functional PBE.

VASP energy, eV/atom: -3.471
Formation energy without anion corrections, eV/atom: 0.00
Space group: Cm (8)
Distance to the lowest polymorph of the same formula, meV per atom: 62

a b c (Å): 6.908 6.908 5.917
angles (deg): 59.38 59.38 27.73
Positions (direct):
Tl 0.562 0.562 0.488
Sb 0.718 0.718 0.774
Sb 0.914 0.914 0.221
Au 0.306 0.306 0.017

Crystalline TlSb2Au at its relaxed geometry. Source: Alexandria via LeMat-Bulk, functional PBE.

VASP energy, eV/atom: -3.271
Formation energy without anion corrections, eV/atom: 0.20
Space group: Cmmm (65)
Distance to the lowest polymorph of the same formula, meV per atom: 263

a b c (Å): 6.084 6.084 3.121
angles (deg): 90.00 90.00 115.89
Positions (direct):
Au 0.000 0.500 0.500
Sb 0.500 0.500 0.000
Sb 0.000 0.000 0.000
Tl 0.500 0.000 0.500

Crystalline Tl3SbAu2 at its relaxed geometry. Source: Alexandria via LeMat-Bulk, functional PBE.

VASP energy, eV/atom: -2.991
Formation energy without anion corrections, eV/atom: -0.03
Space group: P2_1/c (14)

a b c (Å): 8.593 10.444 8.602
angles (deg): 90.00 114.51 90.00
Positions (direct):
Au 0.693 0.925 0.308
Au 0.807 0.425 0.192
Au 0.193 0.575 0.808
Au 0.790 0.250 0.711
Au 0.210 0.750 0.289
Au 0.710 0.750 0.789
Au 0.307 0.075 0.692
Au 0.290 0.250 0.211
Tl 0.938 0.995 0.672
Tl 0.671 0.004 0.938
Tl 0.562 0.495 0.828
Tl 0.062 0.005 0.328
Tl 0.179 0.294 0.823
Tl 0.829 0.504 0.562
Tl 0.329 0.996 0.062
Tl 0.679 0.206 0.323
Tl 0.321 0.794 0.677
Tl 0.821 0.706 0.177
Tl 0.438 0.505 0.172
Tl 0.171 0.496 0.438
Sb 0.560 0.739 0.439
Sb 0.440 0.261 0.561
Sb 0.060 0.761 0.939
Sb 0.940 0.239 0.061

Crystalline Tl3Sb3Au8 at its relaxed geometry. Source: Alexandria via LeMat-Bulk, functional PBE.

VASP energy, eV/atom: -3.277
Formation energy without anion corrections, eV/atom: -0.01
Space group: C2/m (12)

a b c (Å): 4.523 9.239 9.445
angles (deg): 65.11 76.15 75.83
Positions (direct):
Tl 0.711 0.208 0.370
Tl 0.000 0.000 0.000
Tl 0.289 0.792 0.630
Sb 0.325 0.330 0.019
Sb 0.675 0.670 0.981
Sb 0.000 0.500 0.500
Au 0.380 0.017 0.223
Au 0.860 0.448 0.832
Au 0.620 0.983 0.777
Au 0.140 0.552 0.168
Au 0.110 0.161 0.620
Au 0.890 0.839 0.380
Au 0.483 0.333 0.700
Au 0.517 0.667 0.300

Crystalline TlSb2Au at its relaxed geometry. Source: Alexandria via LeMat-Bulk, functional PBE.

VASP energy, eV/atom: -3.342
Formation energy without anion corrections, eV/atom: 0.13
Space group: P4mm (99)
Distance to the lowest polymorph of the same formula, meV per atom: 191

a b c (Å): 3.336 3.336 9.451
angles (deg): 90.00 90.00 89.93
Positions (direct):
Au 0.500 0.500 0.772
Sb 0.000 0.000 0.959
Sb 0.500 0.500 0.240
Tl 0.000 0.000 0.529

Crystalline Tl10SbAu4 at its relaxed geometry. Source: Alexandria via LeMat-Bulk, functional PBE.

VASP energy, eV/atom: -2.757
Formation energy without anion corrections, eV/atom: -0.03
Space group: R-3m (166)

a b c (Å): 5.015 5.015 20.827
angles (deg): 83.09 83.09 60.00
Positions (direct):
Tl 0.645 0.645 0.065
Tl 0.850 0.850 0.450
Tl 0.247 0.247 0.259
Tl 0.753 0.753 0.741
Tl 0.548 0.548 0.356
Tl 0.452 0.452 0.644
Tl 0.150 0.150 0.550
Tl 0.355 0.355 0.935
Tl 0.055 0.055 0.836
Tl 0.945 0.945 0.164
Au 0.596 0.596 0.211
Au 0.801 0.801 0.597
Au 0.199 0.199 0.403
Au 0.404 0.404 0.789
Sb 0.000 0.000 0.000